one:
Here is a crystal of KCoOs2 relaxed with PBEsol from the Alexandria database. Energies are from meta-GGA SCAN.

CIF file:
```
data_KCoOs2
_chemical_formula_sum 'K2 Co2 Os4'
_cell_length_a 3.694
_cell_length_b 3.694
_cell_length_c 9.383
_cell_angle_alpha 90.00
_cell_angle_beta 90.00
_cell_angle_gamma 90.00
_symmetry_space_group_name_H-M 'I 4/m m m'
_symmetry_Int_Tables_number 139
_symmetry_space_group_name_Hall '-I 4 2'
loop_
_atom_site_label
_atom_site_fract_x
_atom_site_fract_y
_atom_site_fract_z
_atom_site_occupancy
K1 0.000 0.000 0.000 1
Co1 0.000 0.000 0.500 1
Os1 0.000 0.500 0.250 1
```

- total magnetic moment (μB per formula unit) = 2.3
- ρ (Mg/m³) = 12.4

---

two:
Here is a crystal of KCoOs2 relaxed with PBEsol from the Alexandria database. Energies are from meta-GGA SCAN.

CIF file:
```
data_KCoOs2
_chemical_formula_sum 'K3 Co3 Os6'
_cell_length_a 2.6773
_cell_length_b 2.6773
_cell_length_c 29.6723
_cell_angle_alpha 90.00
_cell_angle_beta 90.00
_cell_angle_gamma 120.00
_symmetry_space_group_name_H-M 'R -3 m'
_symmetry_Int_Tables_number 166
_symmetry_space_group_name_Hall '-R 3 2"'
loop_
_atom_site_label
_atom_site_fract_x
_atom_site_fract_y
_atom_site_fract_z
_atom_site_occupancy
K1 0.0000 0.0000 0.0000 1
Co1 0.0000 0.0000 0.5000 1
Os1 0.0000 0.0000 0.2341 1
```

- total magnetic moment (μB per formula unit) = 2.0
- ρ (Mg/m³) = 12.9

---

Quick one: least stable of them? one

---

one:
Here is a crystal of KCo2Pt relaxed with PBEsol from the Alexandria database. Energies are from meta-GGA SCAN.

CIF file:
```
data_KCo2Pt
_chemical_formula_sum 'K2 Co4 Pt2'
_cell_length_a 5.860
_cell_length_b 7.764
_cell_length_c 2.620
_cell_angle_alpha 90.00
_cell_angle_beta 90.00
_cell_angle_gamma 90.00
_symmetry_space_group_name_H-M 'C m m m'
_symmetry_Int_Tables_number 65
_symmetry_space_group_name_Hall '-C 2 2'
loop_
_atom_site_label
_atom_site_fract_x
_atom_site_fract_y
_atom_site_fract_z
_atom_site_occupancy
K1 0.000 0.000 0.000 1
Co1 0.250 0.250 0.500 1
Pt1 0.000 0.500 0.000 1
```

- total magnetic moment (μB per formula unit) = 3.5
- ρ (Mg/m³) = 9.8

---

two:
Here is a crystal of KCo2Pt relaxed with PBEsol from the Alexandria database. Energies are from meta-GGA SCAN.

CIF file:
```
data_KCo2Pt
_chemical_formula_sum 'K2 Co4 Pt2'
_cell_length_a 4.068
_cell_length_b 4.068
_cell_length_c 7.551
_cell_angle_alpha 90.00
_cell_angle_beta 90.00
_cell_angle_gamma 90.00
_symmetry_space_group_name_H-M 'I -4 m 2'
_symmetry_Int_Tables_number 119
_symmetry_space_group_name_Hall 'I -4 -2'
loop_
_atom_site_label
_atom_site_fract_x
_atom_site_fract_y
_atom_site_fract_z
_atom_site_occupancy
K1 0.000 0.000 0.000 1
Co1 0.000 0.000 0.500 1
Co2 0.000 0.500 0.750 1
Pt1 0.000 0.500 0.250 1
```

- total magnetic moment (μB per formula unit) = 4.0
- ρ (Mg/m³) = 9.4

---

Quick one: least stable of them? two

---

one:
Here is a crystal of K2CoRe relaxed with PBEsol from the Alexandria database. Energies are from meta-GGA SCAN.

CIF file:
```
data_K2CoRe
_chemical_formula_sum 'K8 Co4 Re4'
_cell_length_a 6.923
_cell_length_b 6.923
_cell_length_c 6.923
_cell_angle_alpha 90.00
_cell_angle_beta 90.00
_cell_angle_gamma 90.00
_symmetry_space_group_name_H-M 'F -4 3 m'
_symmetry_Int_Tables_number 216
_symmetry_space_group_name_Hall 'F -4 2 3'
loop_
_atom_site_label
_atom_site_fract_x
_atom_site_fract_y
_atom_site_fract_z
_atom_site_occupancy
K1 0.000 0.000 0.000 1
K2 0.250 0.250 0.250 1
Co1 0.250 0.250 0.750 1
Re1 0.000 0.000 0.500 1
```

- total magnetic moment (μB per formula unit) = 4.2
- ρ (Mg/m³) = 6.5

---

two:
Here is a crystal of K2CoRe relaxed with PBEsol from the Alexandria database. Energies are from meta-GGA SCAN.

CIF file:
```
data_K2CoRe
_chemical_formula_sum 'K2 Co1 Re1'
_cell_length_a 3.093
_cell_length_b 3.093
_cell_length_c 10.489
_cell_angle_alpha 90.00
_cell_angle_beta 90.00
_cell_angle_gamma 90.00
_symmetry_space_group_name_H-M 'P 4 m m'
_symmetry_Int_Tables_number 99
loop_
_symmetry_equiv_pos_as_xyz
'x,y,z'
'-y,x,z'
'-x,-y,z'
'y,-x,z'
'-x,y,z'
'y,x,z'
'x,-y,z'
'-y,-x,z'
loop_
_atom_site_label
_atom_site_fract_x
_atom_site_fract_y
_atom_site_fract_z
_atom_site_occupancy
K1 0.000 0.000 0.000 1
K2 0.500 0.500 0.414 1
Co1 0.500 0.500 0.760 1
Re1 0.000 0.000 0.669 1
```

- total magnetic moment (μB per formula unit) = 0.0
- ρ (Mg/m³) = 5.3

---

Quick one: least stable of them? one